Record 1
Density functional theory data (PBE) for an optimized crystal structure of SnGeSb3.

Cell lengths 5.6126, 5.6126, 5.6126 Å; angles 90.00, 90.00, 90.00 degrees
Closest atoms and distances in Å follow each position.
Fractional coordinates of all 5 atoms:
Sn  0.0000  0.0000  0.0000  6 Sb 2.81
Ge  0.5000  0.5000  0.5000  12 Sb 3.97
Sb  0.0000  0.0000  0.5000  2 Sn 2.81
Sb  0.0000  0.5000  0.0000  2 Sn 2.81
Sb  0.5000  0.0000  0.0000  2 Sn 2.81

volume	35.362	Å³/atom
energy above the lowest structure with this stoichiometry	395	meV per atom

***

Record 2
Density functional theory data (PBE) for an optimized crystal structure of TcSn2GeSb.

Cell lengths 5.2639, 5.2639, 5.2644 Å; angles 90.00, 90.00, 90.00 degrees
Closest atoms and distances in Å follow each position.
Fractional coordinates of all 5 atoms:
Tc  0.0000  0.0000  0.0000  4 Sb 3.72, 8 Sn 3.72
Sn  0.0000  0.5000  0.5000  2 Ge 2.63
Sn  0.5000  0.0000  0.5000  2 Ge 2.63
Ge  0.5000  0.5000  0.5000  4 Sn 2.63, 2 Sb 2.63
Sb  0.5000  0.5000  0.0000  2 Ge 2.63

volume	29.174	Å³/atom
energy	-4.184	eV per atom

***

Record 3
Density functional theory data (PBE) for an optimized crystal structure of SnGeSbTe2.

Cell lengths 5.4065, 5.4065, 5.4026 Å; angles 90.00, 90.00, 90.00 degrees
Closest atoms and distances in Å follow each position.
Fractional coordinates of all 5 atoms:
Sn  0.0000  0.0000  0.0000  8 Te 3.82, 4 Sb 3.82
Ge  0.5000  0.5000  0.5000  2 Sb 2.70, 4 Te 2.70
Sb  0.5000  0.5000  0.0000  2 Ge 2.70
Te  0.0000  0.5000  0.5000  2 Ge 2.70
Te  0.5000  0.0000  0.5000  2 Ge 2.70

volume	31.584	Å³/atom
energy above the lowest structure with this stoichiometry	0	meV per atom

***

Record 4
Density functional theory data (PBE) for an optimized crystal structure of SnGeSbTe2.

Cell lengths 5.7831, 5.7831, 5.6409 Å; angles 90.00, 90.00, 90.00 degrees
Closest atoms and distances in Å follow each position.
Fractional coordinates of all 5 atoms:
Sn  0.0000  0.0000  0.0000  2 Sb 2.82
Ge  0.5000  0.5000  0.0000  8 Te 4.04, 4 Sn 4.09
Sb  0.0000  0.0000  0.5000  2 Sn 2.82, 4 Te 2.89
Te  0.0000  0.5000  0.5000  2 Sb 2.89
Te  0.5000  0.0000  0.5000  2 Sb 2.89

volume	37.731	Å³/atom
energy above the lowest structure with this stoichiometry	347	meV per atom

***

Record 5
Density functional theory data (PBE) for an optimized crystal structure of SnGeSbTe2.

Cell lengths 5.6590, 5.6590, 5.6475 Å; angles 90.00, 90.00, 90.00 degrees
Closest atoms and distances in Å follow each position.
Fractional coordinates of all 5 atoms:
Sn  0.0000  0.0000  0.0000  2 Sb 2.82, 4 Te 2.83
Ge  0.5000  0.5000  0.5000  8 Te 4.00, 4 Sb 4.00
Sb  0.0000  0.0000  0.5000  2 Sn 2.82
Te  0.0000  0.5000  0.0000  2 Sn 2.83
Te  0.5000  0.0000  0.0000  2 Sn 2.83

volume	36.171	Å³/atom
energy above the lowest structure with this stoichiometry	348	meV per atom

***

Record 6
Density functional theory data (PBE) for an optimized crystal structure of V2SnGeSb.

Cell lengths 5.1229, 5.1229, 5.1092 Å; angles 90.00, 90.00, 90.00 degrees
Closest atoms and distances in Å follow each position.
Fractional coordinates of all 5 atoms:
V  0.0000  0.5000  0.0000  2 Sn 2.56
V  0.5000  0.0000  0.0000  2 Sn 2.56
Sn  0.0000  0.0000  0.0000  2 Ge 2.55, 4 V 2.56
Ge  0.0000  0.0000  0.5000  2 Sn 2.55
Sb  0.5000  0.5000  0.5000  8 V 3.62, 4 Ge 3.62

volume	26.818	Å³/atom
energy	-5.052	eV per atom

***

| no. | spin magnetization (Bohr magnetons per cell) |
| --- | --- |
| 1 | 0.0 |
| 2 | 3.5 |
| 3 | 0.0 |
| 4 | 0.0 |
| 5 | 0.0 |
| 6 | 5.5 |